Entry 1:
Compound: PrEr3N
Source: Alexandria
Functional: PBE
Structure: optimized geometry

a b c (Å): 4.9457 4.9457 4.9457
angles (deg): 90.00 90.00 90.00
Last column: nearest neighbours and their distance in Å.
Fractional positions:
Pr 0.0000 0.0000 0.0000  12 Er 3.50
Er 0.0000 0.5000 0.5000  2 N 2.47
Er 0.5000 0.0000 0.5000  2 N 2.47
Er 0.5000 0.5000 0.0000  2 N 2.47
N 0.5000 0.5000 0.5000  6 Er 2.47

The value obtained for the total magnetization is 0.08 μB/atom. For the formation energy from raw total energies, the calculation gives -502 meV/atom. As for the total energy: -29.30 eV/f.u. The value obtained for the calculated density is 9.0 g/cm³. For the density of states at the Fermi level, the calculation gives 1.428 states/eV per atom.


Entry 2:
Compound: Pr2Er4N
Source: Alexandria
Functional: PBE
Structure: optimized geometry

a b c (Å): 9.5816 9.5816 9.5816
angles (deg): 151.24 151.24 41.12
Last column: nearest neighbours and their distance in Å.
Fractional positions:
Pr 0.1752 0.1752 0.0000  5 Er 3.47-3.52
Pr 0.8248 0.8248 0.0000  5 Er 3.47-3.52
Er 0.0000 0.5000 0.5000  2 N 2.38
Er 0.3711 0.3711 0.0000  1 N 2.31
Er 0.5000 0.0000 0.5000  2 N 2.38
Er 0.6289 0.6289 0.0000  1 N 2.31
N 0.5000 0.5000 0.0000  6 Er 2.31-2.38

The value obtained for the total magnetization is 0.00 μB/atom. For the formation energy from raw total energies, the calculation gives -307 meV/atom. As for the total energy: -38.29 eV/f.u. The value obtained for the calculated density is 7.9 g/cm³. For the density of states at the Fermi level, the calculation gives 1.237 states/eV per atom.


Entry 3:
Compound: PrEr2N
Source: Alexandria
Functional: PBE
Structure: optimized geometry

a b c (Å): 3.1599 3.1599 8.9380
angles (deg): 90.00 90.00 90.00
Last column: nearest neighbours and their distance in Å.
Fractional positions:
Pr 0.0000 0.0000 0.0000  4 Pr 3.16
Er 0.5000 0.5000 0.3427  4 N 2.64, 1 Er 2.81
Er 0.5000 0.5000 0.6573  4 N 2.64, 1 Er 2.81
N 0.0000 0.0000 0.5000  8 Er 2.64

The value obtained for the total magnetization is 0.00 μB/atom. For the formation energy from raw total energies, the calculation gives -184 meV/atom. As for the total energy: -22.97 eV/f.u. The value obtained for the energy above the lowest structure with this stoichiometry is 0.541 eV/atom. The value obtained for the calculated density is 9.1 g/cm³. For the density of states at the Fermi level, the calculation gives 1.149 states/eV per atom.


Entry 4:
Compound: PrEr2N
Source: Alexandria
Functional: PBE
Structure: optimized geometry

a b c (Å): 9.7934 9.7934 9.7934
angles (deg): 20.17 20.17 20.17
Last column: nearest neighbours and their distance in Å.
Fractional positions:
Pr 0.0000 0.0000 0.0000  6 Pr 3.43, 2 Er 3.48
Er 0.1209 0.1209 0.1209  3 N 2.38
Er 0.8791 0.8791 0.8791  3 N 2.38
N 0.5000 0.5000 0.5000  6 Er 2.38

The value obtained for the total magnetization is 0.00 μB/atom. For the formation energy from raw total energies, the calculation gives -724 meV/atom. As for the total energy: -25.13 eV/f.u. The value obtained for the energy above the lowest structure with this stoichiometry is 0.000 eV/atom. The value obtained for the calculated density is 8.3 g/cm³. For the density of states at the Fermi level, the calculation gives 1.216 states/eV per atom.


Entry 5:
Compound: PrEr2PuN4
Source: Alexandria
Functional: PBE
Structure: optimized geometry

a b c (Å): 6.0644 3.5098 6.0649
angles (deg): 90.00 109.33 90.00
Last column: nearest neighbours and their distance in Å.
Fractional positions:
Pr 0.0000 0.0000 0.0000  6 N 2.54
Er 0.5000 0.0000 0.5000  6 N 2.41-2.42
Er 0.5000 0.5000 0.0000  6 N 2.50-2.51
Pu 0.0000 0.5000 0.5000  6 N 2.44-2.47
N 0.2535 0.0000 0.7403  3 Er 2.41-2.50, 2 Pu 2.47, 1 Pr 2.54
N 0.2594 0.5000 0.2656  3 Er 2.42-2.51, 1 Pu 2.44, 2 Pr 2.54
N 0.7406 0.5000 0.7344  3 Er 2.42-2.51, 1 Pu 2.44, 2 Pr 2.54
N 0.7465 0.0000 0.2597  3 Er 2.41-2.50, 2 Pu 2.47, 1 Pr 2.54

The value obtained for the total magnetization is 0.59 μB/atom. For the formation energy from raw total energies, the calculation gives -1479 meV/atom. As for the total energy: -73.37 eV/f.u. The value obtained for the calculated density is 10.6 g/cm³. For the density of states at the Fermi level, the calculation gives 0.923 states/eV per atom.


Entry 6:
Compound: PrErPuN3
Source: Alexandria
Functional: PBE
Structure: optimized geometry

a b c (Å): 7.1051 3.5665 9.3399
angles (deg): 90.00 105.18 90.00
Last column: nearest neighbours and their distance in Å.
Fractional positions:
Pr 0.0913 0.2500 0.3654  5 N 2.46-2.66
Pr 0.9087 0.7500 0.6346  5 N 2.46-2.66
Er 0.4349 0.7500 0.6371  6 N 2.31-2.51
Er 0.5651 0.2500 0.3629  6 N 2.31-2.51
Pu 0.2904 0.2500 0.9129  4 N 2.19-2.42
Pu 0.7096 0.7500 0.0871  4 N 2.19-2.42
N 0.1900 0.2500 0.6445  1 Pu 2.42, 2 Er 2.51, 3 Pr 2.52-2.66
N 0.3341 0.7500 0.3812  3 Er 2.31-2.46, 2 Pr 2.46
N 0.4572 0.7500 0.8882  3 Pu 2.19-2.22, 1 Er 2.31
N 0.5428 0.2500 0.1118  3 Pu 2.19-2.22, 1 Er 2.31
N 0.6659 0.2500 0.6188  3 Er 2.31-2.46, 2 Pr 2.46
N 0.8100 0.7500 0.3555  1 Pu 2.42, 2 Er 2.51, 3 Pr 2.52-2.66

The value obtained for the total magnetization is 0.82 μB/atom. For the formation energy from raw total energies, the calculation gives -1181 meV/atom. As for the total energy: -55.73 eV/f.u. The value obtained for the calculated density is 8.6 g/cm³. For the density of states at the Fermi level, the calculation gives 1.228 states/eV per atom.


Entry 7:
Compound: PrEr2RhN4
Source: Alexandria
Functional: PBE
Structure: optimized geometry

a b c (Å): 6.1092 6.1092 11.4812
angles (deg): 90.00 90.00 147.46
Last column: nearest neighbours and their distance in Å.
Fractional positions:
Pr 0.1143 0.8857 0.7500  6 N 2.58-2.62
Pr 0.8857 0.1143 0.2500  6 N 2.58-2.62
Er 0.3701 0.6299 0.5445  6 N 2.27-2.54
Er 0.3701 0.6299 0.9555  6 N 2.27-2.54
Er 0.6299 0.3701 0.0445  6 N 2.27-2.54
Er 0.6299 0.3701 0.4555  6 N 2.27-2.54
Rh 0.1468 0.8532 0.2500  4 N 2.04-2.05
Rh 0.8532 0.1468 0.7500  4 N 2.04-2.05
N 0.0000 0.0000 0.0000  4 Er 2.35
N 0.0000 0.0000 0.5000  4 Er 2.35
N 0.2690 0.7310 0.1242  1 Rh 2.04, 1 Er 2.27
N 0.2690 0.7310 0.3758  1 Rh 2.04, 1 Er 2.27
N 0.4499 0.5501 0.7500  2 Rh 2.05
N 0.5501 0.4499 0.2500  2 Rh 2.05
N 0.7310 0.2690 0.6242  1 Rh 2.04, 1 Er 2.27
N 0.7310 0.2690 0.8758  1 Rh 2.04, 1 Er 2.27

The value obtained for the total magnetization is 0.00 μB/atom. For the formation energy from raw total energies, the calculation gives -989 meV/atom. As for the total energy: -62.47 eV/f.u. The value obtained for the calculated density is 9.1 g/cm³. For the density of states at the Fermi level, the calculation gives 0.327 states/eV per atom.


Entry 8:
Compound: PrEr2RuN4
Source: Alexandria
Functional: PBE
Structure: optimized geometry

a b c (Å): 6.0703 6.0703 11.5379
angles (deg): 90.00 90.00 147.11
Last column: nearest neighbours and their distance in Å.
Fractional positions:
Pr 0.1172 0.8828 0.7500  6 N 2.63-2.68
Pr 0.8828 0.1172 0.2500  6 N 2.63-2.68
Er 0.3691 0.6309 0.5424  6 N 2.27-2.54
Er 0.3691 0.6309 0.9576  6 N 2.27-2.54
Er 0.6309 0.3691 0.0424  6 N 2.27-2.54
Er 0.6309 0.3691 0.4576  6 N 2.27-2.54
Ru 0.1452 0.8548 0.2500  4 N 1.99-2.01
Ru 0.8548 0.1452 0.7500  4 N 1.99-2.01
N 0.0000 0.0000 0.0000  4 Er 2.35
N 0.0000 0.0000 0.5000  4 Er 2.35
N 0.2656 0.7344 0.1247  1 Ru 2.01
N 0.2656 0.7344 0.3753  1 Ru 2.01
N 0.4406 0.5594 0.7500  2 Ru 1.99
N 0.5594 0.4406 0.2500  2 Ru 1.99
N 0.7344 0.2656 0.6247  1 Ru 2.01
N 0.7344 0.2656 0.8753  1 Ru 2.01

The value obtained for the total magnetization is 0.00 μB/atom. For the formation energy from raw total energies, the calculation gives -1042 meV/atom. As for the total energy: -64.82 eV/f.u. The value obtained for the calculated density is 9.1 g/cm³. For the density of states at the Fermi level, the calculation gives 0.338 states/eV per atom.


Entry 9:
Compound: PrEr2SbN4
Source: Alexandria
Functional: PBE
Structure: optimized geometry

a b c (Å): 6.8715 6.8715 11.6319
angles (deg): 90.00 90.00 151.91
Last column: nearest neighbours and their distance in Å.
Fractional positions:
Pr 0.2355 0.7645 0.7500  6 N 2.48-2.60
Pr 0.7645 0.2355 0.2500  6 N 2.48-2.60
Er 0.3688 0.6312 0.0022  5 N 2.34-2.42
Er 0.3688 0.6312 0.4978  5 N 2.34-2.42
Er 0.6312 0.3688 0.5022  5 N 2.34-2.42
Er 0.6312 0.3688 0.9978  5 N 2.34-2.42
Sb 0.0169 0.9831 0.2500  2 N 2.16
Sb 0.9831 0.0169 0.7500  2 N 2.16
N 0.0000 0.0000 0.0000  4 Er 2.42
N 0.0000 0.0000 0.5000  4 Er 2.42
N 0.2128 0.7872 0.1043  3 Er 2.34-2.39, 2 Pr 2.48
N 0.2128 0.7872 0.3957  3 Er 2.34-2.39, 2 Pr 2.48
N 0.4145 0.5855 0.2500  2 Sb 2.16
N 0.5855 0.4145 0.7500  2 Sb 2.16
N 0.7872 0.2128 0.6043  3 Er 2.34-2.39, 2 Pr 2.48
N 0.7872 0.2128 0.8957  3 Er 2.34-2.39, 2 Pr 2.48

The value obtained for the total magnetization is 0.00 μB/atom. For the formation energy from raw total energies, the calculation gives -807 meV/atom. As for the total energy: -57.78 eV/f.u. The value obtained for the calculated density is 8.4 g/cm³. For the density of states at the Fermi level, the calculation gives 0.048 states/eV per atom.


Entry 10:
Compound: PrEr2SiN4
Source: Alexandria
Functional: PBE
Structure: optimized geometry

a b c (Å): 6.0419 6.0419 11.4248
angles (deg): 90.00 90.00 147.64
Last column: nearest neighbours and their distance in Å.
Fractional positions:
Pr 0.0858 0.9142 0.7500  8 N 2.71-3.02
Pr 0.9142 0.0858 0.2500  8 N 2.71-3.02
Er 0.3686 0.6314 0.5412  6 N 2.27-2.47
Er 0.3686 0.6314 0.9588  6 N 2.27-2.47
Er 0.6314 0.3686 0.0412  6 N 2.27-2.47
Er 0.6314 0.3686 0.4588  6 N 2.27-2.47
Si 0.1779 0.8221 0.2500  4 N 1.72-1.93
Si 0.8221 0.1779 0.7500  4 N 1.72-1.93
N 0.0000 0.0000 0.0000  4 Er 2.32
N 0.0000 0.0000 0.5000  4 Er 2.32
N 0.2632 0.7368 0.1265  1 Si 1.72
N 0.2632 0.7368 0.3735  1 Si 1.72
N 0.4030 0.5970 0.7500  2 Si 1.93
N 0.5970 0.4030 0.2500  2 Si 1.93
N 0.7368 0.2632 0.6265  1 Si 1.72
N 0.7368 0.2632 0.8735  1 Si 1.72

The value obtained for the total magnetization is 0.00 μB/atom. For the formation energy from raw total energies, the calculation gives -1385 meV/atom. As for the total energy: -63.71 eV/f.u. The value obtained for the calculated density is 8.3 g/cm³. For the density of states at the Fermi level, the calculation gives 0.172 states/eV per atom.